This record from Alexandria via LeMat-Bulk describes a relaxed Ba3MnBe2O6 crystal. The functional is GGA+U.

The total energy comes out at -79.1 eV per cell.

The structure belongs to space group P-3m1 (No. 164); the cell edges are 5.7574, 5.7574 and 6.8338 Å and the angles 90.00°, 90.00° and 120.00°. The asymmetric unit holds Ba at (0.0000, 0.0000, 0.0000), Ba at (0.3333, 0.6667, 0.6743), Mn at (0.0000, 0.0000, 0.5000), Be at (0.3333, 0.6667, 0.2702) and O at (0.1787, 0.3573, 0.2939).